Entry 1:
Entry from the Alexandria database: crystalline CePu2Mg at its relaxed geometry (GGA-PBE).

Cell: 7.445 7.445 7.445 Å, 90.00 90.00 90.00°
Element x y z (fractional)
Ce 0.000 0.000 0.000
Ce 0.000 0.500 0.500
Ce 0.500 0.000 0.500
Ce 0.500 0.500 0.000
Pu 0.250 0.250 0.250
Pu 0.250 0.250 0.750
Pu 0.250 0.750 0.250
Pu 0.250 0.750 0.750
Pu 0.750 0.250 0.250
Pu 0.750 0.250 0.750
Pu 0.750 0.750 0.250
Pu 0.750 0.750 0.750
Mg 0.000 0.000 0.500
Mg 0.000 0.500 0.000
Mg 0.500 0.000 0.000
Mg 0.500 0.500 0.500

Summary:
Calculated total energy (eV per atom): -8.880
Formation energy (eV/atom): 0.17


Entry 2:
Entry from the Alexandria database: crystalline CePuMg2 at its relaxed geometry (GGA-PBE).

Cell: 4.445 4.445 5.186 Å, 90.00 90.00 90.00°
Element x y z (fractional)
Ce 0.000 0.000 0.000
Pu 0.500 0.500 0.000
Mg 0.000 0.500 0.500
Mg 0.500 0.000 0.500

Summary:
Calculated total energy (eV per atom): -5.783
Formation energy (eV/atom): 0.08


Repeat the first record exactly.
Entry from the Alexandria database: crystalline CePu2Mg at its relaxed geometry (GGA-PBE).

Cell: 7.445 7.445 7.445 Å, 90.00 90.00 90.00°
Element x y z (fractional)
Ce 0.000 0.000 0.000
Ce 0.000 0.500 0.500
Ce 0.500 0.000 0.500
Ce 0.500 0.500 0.000
Pu 0.250 0.250 0.250
Pu 0.250 0.250 0.750
Pu 0.250 0.750 0.250
Pu 0.250 0.750 0.750
Pu 0.750 0.250 0.250
Pu 0.750 0.250 0.750
Pu 0.750 0.750 0.250
Pu 0.750 0.750 0.750
Mg 0.000 0.000 0.500
Mg 0.000 0.500 0.000
Mg 0.500 0.000 0.000
Mg 0.500 0.500 0.500

Summary:
Calculated total energy (eV per atom): -8.880
Formation energy (eV/atom): 0.17


What did the first record say?
Entry from the Alexandria database: crystalline CePu2Mg at its relaxed geometry (GGA-PBE).

Cell: 7.445 7.445 7.445 Å, 90.00 90.00 90.00°
Element x y z (fractional)
Ce 0.000 0.000 0.000
Ce 0.000 0.500 0.500
Ce 0.500 0.000 0.500
Ce 0.500 0.500 0.000
Pu 0.250 0.250 0.250
Pu 0.250 0.250 0.750
Pu 0.250 0.750 0.250
Pu 0.250 0.750 0.750
Pu 0.750 0.250 0.250
Pu 0.750 0.250 0.750
Pu 0.750 0.750 0.250
Pu 0.750 0.750 0.750
Mg 0.000 0.000 0.500
Mg 0.000 0.500 0.000
Mg 0.500 0.000 0.000
Mg 0.500 0.500 0.500

Summary:
Calculated total energy (eV per atom): -8.880
Formation energy (eV/atom): 0.17